Material: ZrAlGe
Method: DFT, PBE-GGA
State: optimized geometry

Lattice parameters (Å, degrees): 4.2116 4.2116 3.5961 90.00 90.00 120.00
Fractional positions:
Zr 0.0000 0.0000 0.0000
Al 0.3333 0.6667 0.4990
Ge 0.6667 0.3333 0.5011

As for the symmetry: P3m1 (156). The calculated density comes out at 5.74 Mg/m³. As for the uncorrected energy: -5.930 eV/atom. For the formation energy, the calculation gives -0.29 eV per atom.


Material: ZrAl2Ge2
Method: DFT, PBE-GGA
State: optimized geometry

Lattice parameters (Å, degrees): 7.0392 7.0392 7.0392 148.89 148.89 44.58
Fractional positions:
Zr 0.0000 0.0000 0.0000
Al 0.2500 0.7500 0.5000
Al 0.7500 0.2500 0.5000
Ge 0.4002 0.4002 0.0000
Ge 0.5998 0.5998 0.0000

As for the symmetry: I4/mmm (139). The calculated density comes out at 5.19 Mg/m³. As for the uncorrected energy: -5.126 eV/atom. For the formation energy, the calculation gives -0.07 eV per atom.


Material: ZrAl3Ge
Method: DFT, PBE-GGA
State: optimized geometry

Lattice parameters (Å, degrees): 4.7780 4.7780 4.7780 90.00 90.00 90.00
Fractional positions:
Zr 0.0000 0.0000 0.0000
Al 0.0000 0.5000 0.5000
Al 0.5000 0.0000 0.5000
Al 0.5000 0.5000 0.0000
Ge 0.5000 0.5000 0.5000

As for the symmetry: Pm-3m (221). The calculated density comes out at 3.73 Mg/m³. As for the uncorrected energy: -4.214 eV/atom. The energy above the lowest structure with this stoichiometry comes out at 0 meV/atom. For the formation energy, the calculation gives 0.66 eV per atom.


Material: ZrAlGe3
Method: DFT, PBE-GGA
State: optimized geometry

Lattice parameters (Å, degrees): 5.1956 5.1956 5.1956 90.00 90.00 90.00
Fractional positions:
Zr 0.0000 0.0000 0.0000
Al 0.5000 0.5000 0.5000
Ge 0.0000 0.0000 0.5000
Ge 0.0000 0.5000 0.0000
Ge 0.5000 0.0000 0.0000

As for the symmetry: Pm-3m (221). The calculated density comes out at 3.98 Mg/m³. As for the uncorrected energy: -4.693 eV/atom. For the formation energy, the calculation gives 0.54 eV per atom.


Material: ZrAl3Ge
Method: DFT, PBE-GGA
State: optimized geometry

Lattice parameters (Å, degrees): 5.2035 5.2035 5.2035 90.00 90.00 90.00
Fractional positions:
Zr 0.0000 0.0000 0.0000
Al 0.0000 0.0000 0.5000
Al 0.0000 0.5000 0.0000
Al 0.5000 0.0000 0.0000
Ge 0.5000 0.5000 0.5000

As for the symmetry: Pm-3m (221). The calculated density comes out at 2.89 Mg/m³. As for the uncorrected energy: -3.845 eV/atom. The energy above the lowest structure with this stoichiometry comes out at 370 meV/atom. For the formation energy, the calculation gives 1.03 eV per atom.


Material: ZrAl2Ge2
Method: DFT, PBE-GGA
State: optimized geometry

Lattice parameters (Å, degrees): 12.1024 12.1024 3.8462 90.00 90.00 161.60
Fractional positions:
Zr 0.1581 0.8419 0.7500
Zr 0.8419 0.1581 0.2500
Al 0.0456 0.9544 0.2500
Al 0.4532 0.5468 0.2500
Al 0.5468 0.4532 0.7500
Al 0.9544 0.0456 0.7500
Ge 0.2504 0.7496 0.2500
Ge 0.3724 0.6276 0.7500
Ge 0.6276 0.3724 0.2500
Ge 0.7496 0.2504 0.7500

As for the symmetry: Cmcm (63). The calculated density comes out at 5.43 Mg/m³. As for the uncorrected energy: -5.356 eV/atom. For the formation energy, the calculation gives -0.30 eV per atom.


Material: Zr3AlGe
Method: DFT, PBE-GGA
State: optimized geometry

Lattice parameters (Å, degrees): 6.1872 6.1872 12.9587 104.09 104.09 65.04
Fractional positions:
Zr 0.1075 0.2320 0.8101
Zr 0.1773 0.3690 0.5997
Zr 0.2123 0.7557 0.9570
Zr 0.2320 0.1075 0.3101
Zr 0.2443 0.7877 0.5430
Zr 0.3690 0.1773 0.0997
Zr 0.6310 0.8227 0.9003
Zr 0.7557 0.2123 0.4570
Zr 0.7680 0.8925 0.6899
Zr 0.7877 0.2443 0.0430
Zr 0.8227 0.6310 0.4003
Zr 0.8925 0.7680 0.1899
Al 0.3306 0.5545 0.3295
Al 0.4455 0.6694 0.1705
Al 0.5545 0.3306 0.8295
Al 0.6694 0.4455 0.6705
Ge 0.0000 0.5000 0.0000
Ge 0.2584 0.7416 0.7500
Ge 0.5000 0.0000 0.5000
Ge 0.7416 0.2584 0.2500

As for the symmetry: C2/c (15). The calculated density comes out at 5.76 Mg/m³. As for the uncorrected energy: -7.058 eV/atom. The energy above the lowest structure with this stoichiometry comes out at 0 meV/atom. For the formation energy, the calculation gives -0.26 eV per atom.


Material: ZrAl2Ge2
Method: DFT, PBE-GGA
State: optimized geometry

Lattice parameters (Å, degrees): 7.2123 7.2123 3.5237 90.00 90.00 90.00
Fractional positions:
Zr 0.0000 0.0000 0.0000
Zr 0.5000 0.5000 0.0000
Al 0.1269 0.3731 0.0000
Al 0.3731 0.8731 0.0000
Al 0.6269 0.1269 0.0000
Al 0.8731 0.6269 0.0000
Ge 0.1724 0.6724 0.5000
Ge 0.3276 0.1724 0.5000
Ge 0.6724 0.8276 0.5000
Ge 0.8276 0.3276 0.5000

As for the symmetry: P4/mbm (127). The calculated density comes out at 5.26 Mg/m³. As for the uncorrected energy: -5.096 eV/atom. For the formation energy, the calculation gives -0.04 eV per atom.


Material: ZrAlGe
Method: DFT, PBE-GGA
State: optimized geometry

Lattice parameters (Å, degrees): 4.8918 4.8918 4.8918 134.64 134.64 66.08
Fractional positions:
Zr 0.0000 0.0000 0.0000
Al 0.6549 0.6549 0.0000
Ge 0.3494 0.3494 0.0000

As for the symmetry: I4mm (107). The calculated density comes out at 5.43 Mg/m³. As for the uncorrected energy: -5.789 eV/atom. For the formation energy, the calculation gives -0.15 eV per atom.


Material: ZrAlGe
Method: DFT, PBE-GGA
State: optimized geometry

Lattice parameters (Å, degrees): 5.8186 5.8186 5.8186 135.25 124.32 74.09
Fractional positions:
Zr 0.1961 0.1961 0.0000
Zr 0.8039 0.8039 0.0000
Al 0.2427 0.5000 0.7427
Al 0.7573 0.5000 0.2573
Ge 0.3663 0.8663 0.5000
Ge 0.6337 0.1337 0.5000

As for the symmetry: Immm (71). The calculated density comes out at 5.67 Mg/m³. As for the uncorrected energy: -6.049 eV/atom. For the formation energy, the calculation gives -0.41 eV per atom.


Material: ZrAl4Ge
Method: DFT, PBE-GGA
State: optimized geometry

Lattice parameters (Å, degrees): 5.3102 5.3102 5.3102 60.00 60.00 60.00
Fractional positions:
Zr 0.0000 0.0000 0.0000
Al 0.3747 0.3747 0.3747
Al 0.3747 0.3747 0.8758
Al 0.3747 0.8758 0.3747
Al 0.8758 0.3747 0.3747
Ge 0.7500 0.7500 0.7500

As for the symmetry: F-43m (216). The calculated density comes out at 4.26 Mg/m³. As for the uncorrected energy: -4.847 eV/atom. For the formation energy, the calculation gives -0.16 eV per atom.


Material: ZrAlGe3
Method: DFT, PBE-GGA
State: optimized geometry

Lattice parameters (Å, degrees): 4.7898 4.7898 4.7898 90.00 90.00 90.00
Fractional positions:
Zr 0.0000 0.0000 0.0000
Al 0.5000 0.5000 0.5000
Ge 0.0000 0.5000 0.5000
Ge 0.5000 0.0000 0.5000
Ge 0.5000 0.5000 0.0000

As for the symmetry: Pm-3m (221). The calculated density comes out at 5.08 Mg/m³. As for the uncorrected energy: -4.639 eV/atom. For the formation energy, the calculation gives 0.59 eV per atom.